Entry 1:
The following is a DFT calculation (GGA-PBE) of a relaxed structure of Mo2Ir2Os.

## Properties
Final energy ... -100.072 eV for the cell shown
Energy above the most stable polymorph in this dataset ... 0.233 eV per atom

a = 7.4543 Å, b = 7.4543 Å, c = 2.8069 Å
α = 90.00°, β = 90.00°, γ = 90.00°
Fractional coordinates of all 10 atoms:
Mo: 0.1720 0.6720 0.5000
Mo: 0.6720 0.8280 0.5000
Mo: 0.8280 0.3280 0.5000
Mo: 0.3280 0.1720 0.5000
Ir: 0.3741 0.8741 0.0000
Ir: 0.8741 0.6259 0.0000
Ir: 0.6259 0.1259 0.0000
Ir: 0.1259 0.3741 0.0000
Os: 0.0000 0.0000 0.0000
Os: 0.5000 0.5000 0.0000



Entry 2:
The following is a DFT calculation (GGA-PBE) of a relaxed structure of MoIrOs.

## Properties
Final energy ... -31.027 eV for the cell shown
Energy above the most stable polymorph in this dataset ... 0.086 eV per atom

a = 6.1759 Å, b = 6.1760 Å, c = 2.7583 Å
α = 77.10°, β = 77.10°, γ = 25.81°
Fractional coordinates of all 3 atoms:
Ir: 0.0015 0.0015 0.9985
Mo: 0.3318 0.3318 0.6682
Os: 0.6667 0.6667 0.3333



Entry 3:
The following is a DFT calculation (GGA-PBE) of a relaxed structure of MoIrOs.

## Properties
Final energy ... -125.138 eV for the cell shown
Energy above the most stable polymorph in this dataset ... 0.000 eV per atom

a = 3.8742 Å, b = 5.5426 Å, c = 8.2927 Å
α = 90.00°, β = 90.00°, γ = 90.00°
Fractional coordinates of all 12 atoms:
Mo: 0.7500 0.3648 0.9101
Mo: 0.2500 0.1352 0.4101
Mo: 0.2500 0.6352 0.0899
Mo: 0.7500 0.8648 0.5899
Ir: 0.7500 0.8724 0.9174
Ir: 0.2500 0.6276 0.4174
Ir: 0.2500 0.1276 0.0826
Ir: 0.7500 0.3724 0.5826
Os: 0.7500 0.3740 0.2500
Os: 0.2500 0.1260 0.7500
Os: 0.2500 0.6260 0.7500
Os: 0.7500 0.8740 0.2500



Entry 4:
The following is a DFT calculation (GGA-PBE) of a relaxed structure of Mo5Ir4Os.

## Properties
Final energy ... -103.031 eV for the cell shown

a = 2.7658 Å, b = 2.7658 Å, c = 19.6719 Å
α = 90.00°, β = 90.00°, γ = 90.00°
Fractional coordinates of all 10 atoms:
Mo: 0.5000 0.5000 0.0988
Mo: 0.5000 0.5000 0.2998
Mo: 0.5000 0.5000 0.5000
Mo: 0.5000 0.5000 0.7002
Mo: 0.5000 0.5000 0.9012
Ir: 0.0000 0.0000 0.2007
Ir: 0.0000 0.0000 0.4001
Ir: 0.0000 0.0000 0.5999
Ir: 0.0000 0.0000 0.7993
Os: 0.0000 0.0000 0.0000



Entry 5:
The following is a DFT calculation (GGA-PBE) of a relaxed structure of MoIrOs.

## Properties
Final energy ... -31.057 eV for the cell shown
Energy above the most stable polymorph in this dataset ... 0.076 eV per atom

a = 4.8013 Å, b = 4.8013 Å, c = 4.8013 Å
α = 146.83°, β = 132.01°, γ = 59.58°
Fractional coordinates of all 3 atoms:
Ir: 0.9988 0.9988 0.0000
Mo: 0.6684 0.6684 0.0000
Os: 0.3328 0.3328 0.0000



Entry 6:
The following is a DFT calculation (GGA-PBE) of a relaxed structure of MoIr3Os.

## Properties
Final energy ... -95.044 eV for the cell shown
Energy above the most stable polymorph in this dataset ... 0.000 eV per atom

a = 4.0705 Å, b = 6.2274 Å, c = 6.2475 Å
α = 90.00°, β = 90.00°, γ = 90.00°
Fractional coordinates of all 10 atoms:
Mo: 0.7500 0.2500 0.3191
Mo: 0.2500 0.7500 0.6809
Ir: 0.7500 0.7500 0.0328
Ir: 0.2500 0.2500 0.9672
Ir: 0.7500 0.0453 0.7458
Ir: 0.7500 0.4547 0.7458
Ir: 0.2500 0.9547 0.2542
Ir: 0.2500 0.5453 0.2542
Os: 0.7500 0.7500 0.4358
Os: 0.2500 0.2500 0.5642



Computed V, in the same sequence as the records: 156.0 44.6 178.1 150.5 44.6 158.4 Å³/cell.